{"formula": "Pu4InGe", "functional": "PBE-GGA", "state": "relaxed", "lattice_angstrom": [[4.755, 0.002, 1.748], [2.507, 5.508, 0.515], [0.535, -1.396, 5.887]], "species": ["Pu", "Pu", "Pu", "Pu", "In", "Ge"], "fractional_positions": [[0.243, 0.422, 0.092], [0.757, 0.578, 0.908], [0.243, 0.092, 0.422], [0.757, 0.908, 0.578], [0.000, 0.000, 0.000], [0.500, 0.500, 0.500]], "vol_a3_per_cell": 146, "dft_energy_ev_per_atom": -10.825, "sg": "No. 71", "formation_enthalpy_0k_ev_per_atom": -0.04, "n_ef_per_ev_cell": 18.47}

=====

{"formula": "CuIr2Se", "functional": "PBE-GGA", "state": "relaxed", "lattice_angstrom": [[-3.645, 2.016, -3.901], [3.827, -1.029, -4.107], [-1.815, -4.142, -4.619]], "species": ["Ir", "Ir", "Ir", "Ir", "Cu", "Cu", "Se", "Se"], "fractional_positions": [[0.875, 0.887, 0.750], [0.113, 0.625, 0.250], [0.637, 0.125, 0.250], [0.375, 0.363, 0.750], [0.250, 0.750, 0.500], [0.500, 0.500, 0.000], [0.000, 0.000, 0.000], [0.750, 0.250, 0.500]], "vol_a3_per_cell": 164, "e_form_raw_ev_per_atom": 0.831, "dft_energy_ev_per_atom": -5.494, "sg": "No. 122", "n_ef_per_ev_cell": 8.49}

=====

{"formula": "V2InAs2", "functional": "PBE-GGA", "state": "relaxed", "lattice_angstrom": [[7.134, 0.000, 0.000], [0.000, 7.134, 0.000], [0.000, 0.000, 3.270]], "species": ["V", "V", "V", "V", "As", "As", "As", "As", "In", "In"], "fractional_positions": [[0.135, 0.365, 0.000], [0.635, 0.135, 0.000], [0.865, 0.635, 0.000], [0.365, 0.865, 0.000], [0.650, 0.850, 0.500], [0.850, 0.350, 0.500], [0.350, 0.150, 0.500], [0.150, 0.650, 0.500], [0.000, 0.000, 0.000], [0.500, 0.500, 0.000]], "vol_a3_per_cell": 166, "dft_energy_ev_per_atom": -6.180, "sg": "No. 127", "formation_enthalpy_0k_ev_per_atom": -0.13, "n_ef_per_ev_cell": 5.57}

=====

{"formula": "Ti2InBi", "functional": "PBE-GGA", "state": "relaxed", "lattice_angstrom": [[-3.618, -0.064, 0.024], [0.025, -0.075, 3.618], [-0.112, 6.344, 0.132]], "species": ["Bi", "In", "Ti", "Ti"], "fractional_positions": [[0.500, 0.500, 0.500], [0.500, 0.500, 0.000], [0.000, 0.000, 0.256], [0.000, 0.000, 0.744]], "vol_a3_per_cell": 83, "dft_energy_ev_per_atom": -5.551, "sg": "No. 123", "formation_enthalpy_0k_ev_per_atom": 0.05, "n_ef_per_ev_cell": 5.13}

=====

{"formula": "Ir2PtPb", "functional": "PBE-GGA", "state": "relaxed", "lattice_angstrom": [[5.652, 0.006, 0.001], [2.748, 4.939, -0.001], [-3.476, -3.703, 2.481]], "species": ["Pb", "Ir", "Ir", "Pt"], "fractional_positions": [[0.750, 0.250, 0.500], [0.009, 0.009, 0.000], [0.491, 0.491, 0.000], [0.250, 0.750, 0.500]], "vol_a3_per_cell": 69, "dft_energy_ev_per_atom": -6.437, "sg": "No. 71", "formation_enthalpy_0k_ev_per_atom": 0.43, "n_ef_per_ev_cell": 4.19}

=====

{"formula": "Tb12Y7Mg", "functional": "PBE-GGA", "state": "relaxed", "lattice_angstrom": [[9.832, 0.000, -3.476], [-4.916, 8.515, -3.476], [0.000, 0.000, 10.428]], "species": ["Y", "Y", "Y", "Y", "Y", "Y", "Y", "Tb", "Tb", "Tb", "Tb", "Tb", "Tb", "Tb", "Tb", "Tb", "Tb", "Tb", "Tb", "Mg"], "fractional_positions": [[0.500, 0.000, 0.000], [0.500, 0.500, 0.000], [0.000, 0.500, 0.000], [0.000, 0.500, 0.500], [0.500, 0.500, 0.500], [0.000, 0.000, 0.500], [0.500, 0.000, 0.500], [0.262, 0.619, 0.357], [0.904, 0.643, 0.262], [0.381, 0.643, 0.738], [0.619, 0.357, 0.262], [0.357, 0.262, 0.619], [0.262, 0.904, 0.643], [0.643, 0.738, 0.381], [0.643, 0.262, 0.904], [0.096, 0.357, 0.738], [0.357, 0.738, 0.096], [0.738, 0.096, 0.357], [0.738, 0.381, 0.643], [0.000, 0.000, 0.000]], "vol_a3_per_cell": 873, "dft_energy_ev_per_atom": -4.281, "sg": "No. 204", "formation_enthalpy_0k_ev_per_atom": 0.84, "n_ef_per_ev_cell": 34.46}